Entry from Alexandria: LiCrAu2 after structural relaxation (PBE-GGA).

Cell lengths 3.985, 3.985, 9.652 Å; angles 78.09, 78.09, 90.00 degrees
Site moments in Bohr magnetons follow the coordinates.
Fractional coordinates of all 8 atoms:
Au  0.875  0.871  0.750  0.07
Au  0.375  0.379  0.750  0.07
Cr  0.750  0.250  0.500  3.86
Li  0.250  0.750  0.500  0.02
Cr  0.000  0.000  0.000  3.86
Li  0.500  0.500  0.000  0.02
Au  0.621  0.125  0.250  0.06
Au  0.129  0.625  0.250  0.06

Density of states at the Fermi level ... 2.7 states/eV/cell
Total energy ... -4.3175 eV/atom
Total magnetization ... 4.5 μB/f.u.
Theoretical density ... 10.3 g/cm3
ΔH_f (0 K) ... 0.21 eV per atom